No. 1
VASP calculation (PBE-GGA) on a geometry-optimized Ce6CdRu2 structure.

Unit cell a=5.7309 b=5.7309 c=8.7755 alpha=95.28 beta=95.28 gamma=50.11
Last column: nearest neighbours and their distance in Å.
Element x y z (fractional)
1 Ce 0.0566 0.0566 0.3650  3 Ce 2.75-2.95, 3 Ru 2.97-3.03
2 Ce 0.2970 0.2970 0.8960  1 Ru 2.41
3 Ce 0.3948 0.3948 0.3241  2 Ce 2.95, 3 Ru 3.02-3.04
4 Ce 0.6052 0.6052 0.6759  2 Ce 2.95, 3 Ru 3.02-3.04
5 Ce 0.7030 0.7030 0.1040  1 Ru 2.41
6 Ce 0.9434 0.9434 0.6350  3 Ce 2.75-2.95, 3 Ru 2.97-3.03
7 Cd 0.0000 0.0000 0.0000  8 Ce 3.20-3.30
8 Ru 0.2673 0.2673 0.6206  1 Ce 2.41
9 Ru 0.7327 0.7327 0.3794  1 Ce 2.41

=====

No. 2
VASP calculation (PBE-GGA) on a geometry-optimized Ce2CdRu structure.

Unit cell a=4.6634 b=4.6634 c=4.1760 alpha=90.00 beta=90.00 gamma=90.00
Last column: nearest neighbours and their distance in Å.
Element x y z (fractional)
1 Ce 0.0000 0.5000 0.0000  4 Ru 3.13, 4 Cd 3.13, 4 Ce 3.30
2 Ce 0.5000 0.0000 0.0000  4 Ru 3.13, 4 Cd 3.13, 4 Ce 3.30
3 Cd 0.0000 0.0000 0.5000  8 Ce 3.13, 4 Ru 3.30
4 Ru 0.5000 0.5000 0.5000  8 Ce 3.13, 4 Cd 3.30

Calculated values
Offset from the most stable computed form, meV per atom: 174.2

=====

No. 3
VASP calculation (PBE-GGA) on a geometry-optimized Ce12CdRu6 structure.

Unit cell a=8.2692 b=8.2692 c=8.2692 alpha=106.32 beta=106.32 gamma=106.32
Last column: nearest neighbours and their distance in Å.
Element x y z (fractional)
1 Ce 0.0000 0.3898 0.6102  3 Ce 2.92-3.24, 4 Ru 2.93-2.97
2 Ce 0.0000 0.6102 0.3898  3 Ce 2.92-3.24, 4 Ru 2.93-2.97
3 Ce 0.0814 0.0814 0.3422  1 Ru 2.59
4 Ce 0.0814 0.3422 0.0814  1 Ru 2.59
5 Ce 0.3422 0.0814 0.0814  1 Ru 2.59
6 Ce 0.3898 0.0000 0.6102  3 Ce 2.92-3.24, 4 Ru 2.93-2.97
7 Ce 0.3898 0.6102 0.0000  3 Ce 2.92-3.24, 4 Ru 2.93-2.97
8 Ce 0.6102 0.0000 0.3898  3 Ce 2.92-3.24, 4 Ru 2.93-2.97
9 Ce 0.6102 0.3898 0.0000  3 Ce 2.92-3.24, 4 Ru 2.93-2.97
10 Ce 0.6578 0.9186 0.9186  1 Ru 2.59
11 Ce 0.9186 0.6578 0.9186  1 Ru 2.59
12 Ce 0.9186 0.9186 0.6578  1 Ru 2.59
13 Cd 0.5000 0.5000 0.5000  6 Ce 3.72
14 Ru 0.2033 0.7867 0.7867  1 Ce 2.59
15 Ru 0.2133 0.2133 0.7967  1 Ce 2.59
16 Ru 0.2133 0.7967 0.2133  1 Ce 2.59
17 Ru 0.7867 0.2033 0.7867  1 Ce 2.59
18 Ru 0.7867 0.7867 0.2033  1 Ce 2.59
19 Ru 0.7967 0.2133 0.2133  1 Ce 2.59

=====

No. 4
VASP calculation (PBE-GGA) on a geometry-optimized CeCdRu2 structure.

Unit cell a=4.7025 b=4.7025 c=4.7025 alpha=60.00 beta=60.00 gamma=60.00
Last column: nearest neighbours and their distance in Å.
Element x y z (fractional)
1 Ce 0.0000 0.0000 0.0000  8 Ru 2.88
2 Cd 0.5000 0.5000 0.5000  8 Ru 2.88
3 Ru 0.2500 0.2500 0.2500  4 Cd 2.88, 4 Ce 2.88
4 Ru 0.7500 0.7500 0.7500  4 Cd 2.88, 4 Ce 2.88

Calculated values
Offset from the most stable computed form, meV per atom: 46.2

=====

No. 5
VASP calculation (PBE-GGA) on a geometry-optimized Ce2CdRu structure.

Unit cell a=3.2589 b=3.2589 c=8.8065 alpha=90.00 beta=90.00 gamma=90.00
Last column: nearest neighbours and their distance in Å.
Element x y z (fractional)
1 Ce 0.0000 0.0000 0.2075  4 Ru 2.94, 4 Ce 3.26
2 Ce 0.0000 0.0000 0.7925  4 Ru 2.94, 4 Ce 3.26
3 Cd 0.5000 0.5000 0.5000  4 Cd 3.26, 8 Ce 3.46
4 Ru 0.5000 0.5000 0.0000  8 Ce 2.94, 4 Ru 3.26

Calculated values
Offset from the most stable computed form, meV per atom: 0.0

=====

No. 6
VASP calculation (PBE-GGA) on a geometry-optimized Ce6CdRu8 structure.

Unit cell a=7.5252 b=7.5252 c=7.5252 alpha=62.68 beta=62.68 gamma=62.68
Last column: nearest neighbours and their distance in Å.
Element x y z (fractional)
1 Ce 0.1050 0.4621 0.6871  1 Ru 2.32
2 Ce 0.3129 0.8950 0.5379  1 Ru 2.32
3 Ce 0.4621 0.6871 0.1050  1 Ru 2.32
4 Ce 0.5379 0.3129 0.8950  1 Ru 2.32
5 Ce 0.6871 0.1050 0.4621  1 Ru 2.32
6 Ce 0.8950 0.5379 0.3129  1 Ru 2.32
7 Cd 0.0000 0.0000 0.0000  8 Ru 2.89-2.92
8 Ru 0.0753 0.7732 0.4074  1 Ce 2.32
9 Ru 0.1603 0.1603 0.1603  6 Ru 2.83-3.06, 1 Cd 2.89, 3 Ce 3.01
10 Ru 0.2268 0.5926 0.9247  1 Ce 2.32
11 Ru 0.4074 0.0753 0.7732  1 Ce 2.32
12 Ru 0.5926 0.9247 0.2268  1 Ce 2.32
13 Ru 0.7732 0.4074 0.0753  1 Ce 2.32
14 Ru 0.8397 0.8397 0.8397  6 Ru 2.83-3.06, 1 Cd 2.89, 3 Ce 3.01
15 Ru 0.9247 0.2268 0.5926  1 Ce 2.32

=====

No. 7
VASP calculation (PBE-GGA) on a geometry-optimized Ce8CdRu6 structure.

Unit cell a=10.2035 b=10.2035 c=3.9585 alpha=90.00 beta=90.00 gamma=120.00
Last column: nearest neighbours and their distance in Å.
Element x y z (fractional)
1 Ce 0.0495 0.3269 0.2652  3 Ru 2.58-2.84
2 Ce 0.2774 0.9505 0.2652  3 Ru 2.58-2.84
3 Ce 0.3269 0.2774 0.7348  3 Ru 2.58-2.84
4 Ce 0.3333 0.6667 0.7554  6 Ru 3.02-3.05
5 Ce 0.6667 0.3333 0.2446  6 Ru 3.02-3.05
6 Ce 0.6731 0.7226 0.2652  3 Ru 2.58-2.84
7 Ce 0.7226 0.0495 0.7348  3 Ru 2.58-2.84
8 Ce 0.9505 0.6731 0.7348  3 Ru 2.58-2.84
9 Cd 0.0000 0.0000 0.0000  6 Ce 3.29
10 Ru 0.0886 0.6228 0.2492  3 Ce 2.58-2.84
11 Ru 0.3772 0.4658 0.2492  3 Ce 2.58-2.84
12 Ru 0.4658 0.0886 0.7508  3 Ce 2.58-2.84
13 Ru 0.5342 0.9114 0.2492  3 Ce 2.58-2.84
14 Ru 0.6228 0.5342 0.7508  3 Ce 2.58-2.84
15 Ru 0.9114 0.3772 0.7508  3 Ce 2.58-2.84

=====

No. 8
VASP calculation (PBE-GGA) on a geometry-optimized Ce3CdRu structure.

Unit cell a=5.3384 b=5.3384 c=5.3384 alpha=90.00 beta=90.00 gamma=90.00
Last column: nearest neighbours and their distance in Å.
Element x y z (fractional)
1 Ce 0.0000 0.0000 0.5000  2 Ru 2.67
2 Ce 0.0000 0.5000 0.0000  2 Ru 2.67
3 Ce 0.5000 0.0000 0.0000  2 Ru 2.67
4 Cd 0.5000 0.5000 0.5000  12 Ce 3.77
5 Ru 0.0000 0.0000 0.0000  6 Ce 2.67

Calculated values
Offset from the most stable computed form, meV per atom: 124.3

=====

For each record above, in turn, the calculated E_tot values are -6.3820; -5.6089; -6.8282; -6.4082; -5.7831; -7.5323; -7.2014; -5.6780 eV per atom.
For each record above, in turn, the calculated DFT formation energy values are -25.38; -9.09; -9.95; -5.60; -25.90; -14.53; -25.60; -7.67 kJ/mol of atoms.